Here is crystalline CrNiHW2 at its relaxed geometry from Alexandria. Energies are from GGA-PBE.

Raw total energy: -43.83 eV/f.u.
Fermi-level density of states: 4.220 states/eV per cell
SG: No. 123

a = 4.012 Å, b = 4.012 Å, c = 3.548 Å
α = 90.00°, β = 90.00°, γ = 90.00°
Element x y z (fractional)
Cr 0.000 0.000 0.000
Ni 0.500 0.500 0.000
H 0.500 0.500 0.500
W 0.000 0.500 0.500
W 0.500 0.000 0.500